K12Au7O: relaxed, PBE-GGA.

It has space group R-3 (No. 148, hexagonal axes), with a = 16.9743 Å, b = 16.9743 Å, c = 9.1161 Å, α = 90.00°, β = 90.00° and γ = 120.00°. Symmetry generates all atoms from K at (0.0024, 0.8721, 0.3382), K at (0.0293, 0.2606, 0.0724), Au at (0.0000, 0.0000, 0.0000), Au at (0.0221, 0.4510, 0.1067) and O at (0.0000, 0.0000, 0.5000).

The calculation puts the energy relative to the elements, uncorrected at -0.356 eV per atom.